# GGA-PBE Al2ZnBr, optimized geometry
data_Al2ZnBr
_cell_length_a 3.2254
_cell_length_b 5.2724
_cell_length_c 9.5328
_cell_angle_alpha 90.00
_cell_angle_beta 90.00
_cell_angle_gamma 90.00
_space_group_name_H-M_alt 'I m m m'
_space_group_IT_number 71
_space_group_name_Hall '-I 2 2'
loop_
_atom_site_label
_atom_site_type_symbol
_atom_site_fract_x
_atom_site_fract_y
_atom_site_fract_z
Al1 Al 0.0000 0.0000 0.2384
Zn1 Zn 0.0000 0.5000 0.5000
Br1 Br 0.0000 0.5000 0.0000
# **Raw formation energy**: 0.147 eV per atom
# **DFT total energy**: -9.84 eV/f.u.
# **Relative energy among the computed polymorphs**: 84 meV/atom
# **Density of states at the Fermi level**: 2.3 states/eV/cell